(1)
Entry from the Alexandria database: an optimized crystal structure of PuSCl (PBE).

Its uncorrected formation energy is -172.3 kJ/mol of atoms. As for the energy above the most stable polymorph in this dataset: 0.00 eV/f.u. The total energy comes out at -102.66 eV per cell.

The space group is Pnma (No. 62) and the conventional cell measures 9.961, 4.320 and 6.992 Å, with angles of 90.00, 90.00 and 90.00 degrees. The asymmetric unit holds Pu at (0.159, 0.250, 0.122), S at (0.119, 0.750, 0.881) and Cl at (0.113, 0.750, 0.379).

---

(2)
Entry from the Alexandria database: an optimized crystal structure of Mo5W (PBE).

As for the energy above the most stable polymorph in this dataset: 0.00 eV/f.u. The calculation puts the formation energy at -0.02 eV/atom. The total energy comes out at -134.44 eV per cell.

The space group is Cmmm (No. 65) and the conventional cell measures 3.176, 13.391 and 4.484 Å, with angles of 90.00, 90.00 and 90.00 degrees. The asymmetric unit holds Mo at (0.000, 0.000, 0.000), Mo at (0.000, 0.167, 0.500), Mo at (0.000, 0.333, 0.000) and W at (0.000, 0.500, 0.500).

---

(3)
Entry from the Alexandria database: an optimized crystal structure of SrSnMoPb2 (PBE).

The calculation puts the formation energy at 0.14 eV/atom. The total energy comes out at -23.25 eV per cell.

The space group is P4/mmm (No. 123) and the conventional cell measures 5.447, 5.447 and 5.338 Å, with angles of 90.00, 90.00 and 90.00 degrees. The asymmetric unit holds Sr at (0.000, 0.000, 0.000), Sn at (0.500, 0.500, 0.000), Mo at (0.500, 0.500, 0.500) and Pb at (0.000, 0.500, 0.500).

---

(4)
Entry from the Alexandria database: an optimized crystal structure of CsSrI2 (PBE).

Its uncorrected formation energy is -120.5 kJ/mol of atoms. As for the energy above the most stable polymorph in this dataset: 0.04 eV/f.u. The total energy comes out at -31.89 eV per cell.

The space group is R3m (No. 160, hexagonal axes) and the conventional cell measures 4.7999, 4.7999 and 30.7819 Å, with angles of 90.00, 90.00 and 120.00 degrees. The asymmetric unit holds Cs at (0.0000, 0.0000, 0.0000), Sr at (0.0000, 0.0000, 0.1721), I at (0.0000, 0.0000, 0.5667) and I at (0.0000, 0.0000, 0.7764).

---

(5)
Entry from the Alexandria database: an optimized crystal structure of Sr2CdSi3Pt4 (PBE).

Its uncorrected formation energy is -78.5 kJ/mol of atoms. The total energy comes out at -52.84 eV per cell.

The space group is P-4m2 (No. 115) and the conventional cell measures 4.410, 4.410 and 10.179 Å, with angles of 90.00, 90.00 and 90.00 degrees. The asymmetric unit holds Sr at (0.000, 0.500, 0.248), Cd at (0.000, 0.000, 0.500), Si at (0.000, 0.500, 0.884), Si at (0.500, 0.500, 0.500), Pt at (0.000, 0.000, 0.000), Pt at (0.000, 0.500, 0.650) and Pt at (0.500, 0.500, 0.000).

---

(6)
Entry from the Alexandria database: an optimized crystal structure of ZnCo3B (PBE).

As for the energy above the most stable polymorph in this dataset: 0.00 eV/f.u. The calculation puts the formation energy at -0.01 eV/atom. The total energy comes out at -29.30 eV per cell.

The space group is Pm-3m (No. 221) and the conventional cell measures 3.793, 3.793 and 3.793 Å, with angles of 90.00, 90.00 and 90.00 degrees. The asymmetric unit holds Zn at (0.000, 0.000, 0.000), Co at (0.000, 0.500, 0.500) and B at (0.500, 0.500, 0.500).

---

(7)
Entry from the Alexandria database: an optimized crystal structure of SrNd2Er (PBE).

As for the energy above the most stable polymorph in this dataset: 0.00 eV/f.u. The calculation puts the formation energy at 0.10 eV/atom. The total energy comes out at -46.16 eV per cell.

The space group is R3m (No. 160, hexagonal axes) and the conventional cell measures 3.7250, 3.7250 and 37.1258 Å, with angles of 90.00, 90.00 and 120.00 degrees. The asymmetric unit holds Sr at (0.0000, 0.0000, 0.0000), Nd at (0.0000, 0.0000, 0.5762), Nd at (0.0000, 0.0000, 0.7571) and Er at (0.0000, 0.0000, 0.1664).

---

(8)
Entry from the Alexandria database: an optimized crystal structure of KLi2Mn (PBE).

As for the energy above the most stable polymorph in this dataset: 1.02 eV/f.u. The calculation puts the formation energy at 0.71 eV/atom. The total energy comes out at -44.95 eV per cell.

The space group is I-42d (No. 122) and the conventional cell measures 4.848, 4.848 and 20.959 Å, with angles of 90.00, 90.00 and 90.00 degrees. The asymmetric unit holds K at (0.000, 0.000, 0.000), Li at (0.157, 0.250, 0.625) and Mn at (0.000, 0.000, 0.500).

---

(9)
Entry from the Alexandria database: an optimized crystal structure of BaLi2Mo (PBE).

As for the energy above the most stable polymorph in this dataset: 0.48 eV/f.u. The calculation puts the formation energy at 0.85 eV/atom. The total energy comes out at -52.70 eV per cell.

The space group is Fm-3m (No. 225) and the conventional cell measures 7.471, 7.471 and 7.471 Å, with angles of 90.00, 90.00 and 90.00 degrees. The asymmetric unit holds Ba at (0.000, 0.000, 0.000), Li at (0.250, 0.250, 0.250) and Mo at (0.000, 0.000, 0.500).

---

(10)
Entry from the Alexandria database: an optimized crystal structure of Er3PuBi4 (PBE).

As for the energy above the most stable polymorph in this dataset: 0.00 eV/f.u. The calculation puts the formation energy at -0.68 eV/atom. The total energy comes out at -98.03 eV per cell.

The space group is Cmmm (No. 65) and the conventional cell measures 8.951, 12.642 and 4.474 Å, with angles of 90.00, 90.00 and 90.00 degrees. The asymmetric unit holds Er at (0.000, 0.000, 0.000), Er at (0.250, 0.250, 0.500), Pu at (0.000, 0.500, 0.000), Bi at (0.000, 0.248, 0.000) and Bi at (0.246, 0.000, 0.500).

---

(11)
Entry from the Alexandria database: an optimized crystal structure of Cu2AgSe (PBE).

Its uncorrected formation energy is 20.4 kJ/mol of atoms. The total energy comes out at -27.36 eV per cell.

The space group is C2/m (No. 12) and the conventional cell measures 7.606, 3.226 and 5.538 Å, with angles of 90.00, 102.20 and 90.00 degrees. The asymmetric unit holds Cu at (0.245, 0.000, 0.227), Ag at (0.000, 0.000, 0.500) and Se at (0.000, 0.500, 0.000).

---

(12)
Entry from the Alexandria database: an optimized crystal structure of Na2Zr2InS6 (PBE).

Its uncorrected formation energy is -122.5 kJ/mol of atoms. The total energy comes out at -122.41 eV per cell.

The space group is C2/m (No. 12) and the conventional cell measures 6.570, 11.508 and 7.072 Å, with angles of 90.00, 107.58 and 90.00 degrees. The asymmetric unit holds Na at (0.000, 0.162, 0.000), Zr at (0.000, 0.333, 0.500), In at (0.000, 0.000, 0.500), S at (0.227, 0.500, 0.715) and S at (0.242, 0.174, 0.716).

---

(13)
Entry from the Alexandria database: an optimized crystal structure of CdHgRu2 (PBE).

As for the energy above the most stable polymorph in this dataset: 1.17 eV/f.u. The calculation puts the formation energy at 0.49 eV/atom. The total energy comes out at -35.62 eV per cell.

The space group is Imm2 (No. 44) and the conventional cell measures 2.905, 4.840 and 10.047 Å, with angles of 90.00, 90.00 and 90.00 degrees. The asymmetric unit holds Cd at (0.000, 0.000, 0.000), Hg at (0.000, 0.500, 0.780), Ru at (0.000, 0.000, 0.537) and Ru at (0.000, 0.500, 0.242).

---

(14)
Entry from the Alexandria database: an optimized crystal structure of CaAl2In (PBE).

The calculation puts the formation energy at -0.10 eV/atom. The total energy comes out at -25.27 eV per cell.

The space group is I-4m2 (No. 119) and the conventional cell measures 4.440, 4.440 and 9.158 Å, with angles of 90.00, 90.00 and 90.00 degrees. The asymmetric unit holds Ca at (0.000, 0.000, 0.000), Al at (0.000, 0.000, 0.500), Al at (0.000, 0.500, 0.250) and In at (0.000, 0.500, 0.750).

---

(15)
Entry from the Alexandria database: an optimized crystal structure of Tb2PbI (PBE).

Its uncorrected formation energy is -59.2 kJ/mol of atoms. As for the energy above the most stable polymorph in this dataset: 0.10 eV/f.u. The total energy comes out at -67.90 eV per cell.

The space group is Pnma (No. 62) and the conventional cell measures 7.767, 7.483 and 8.846 Å, with angles of 90.00, 90.00 and 90.00 degrees. The asymmetric unit holds Tb at (0.224, 0.005, 0.131), Pb at (0.098, 0.750, 0.872) and I at (0.073, 0.750, 0.384).

---

(16)
Entry from the Alexandria database: an optimized crystal structure of NaCeRuO6 (PBE).

Its uncorrected formation energy is -160.3 kJ/mol of atoms. The total energy comes out at -122.45 eV per cell.

The space group is P4_2nm (No. 102) and the conventional cell measures 4.971, 4.971 and 10.417 Å, with angles of 90.00, 90.00 and 90.00 degrees. The asymmetric unit holds Na at (0.000, 0.000, 0.000), Ce at (0.000, 0.000, 0.354), Ru at (0.000, 0.000, 0.671), O at (0.183, 0.183, 0.541), O at (0.208, 0.208, 0.818) and O at (0.247, 0.247, 0.198).

---

(17)
Entry from the Alexandria database: an optimized crystal structure of CaSi2Rh (PBE).

Its uncorrected formation energy is -15.2 kJ/mol of atoms. The total energy comes out at -20.83 eV per cell.

The space group is P4/mmm (No. 123) and the conventional cell measures 3.981, 3.981 and 4.207 Å, with angles of 90.00, 90.00 and 90.00 degrees. The asymmetric unit holds Ca at (0.000, 0.000, 0.000), Si at (0.000, 0.500, 0.500) and Rh at (0.500, 0.500, 0.000).

---

(18)
Entry from the Alexandria database: an optimized crystal structure of Ba2ZnInPd6 (PBE).

The calculation puts the formation energy at -0.50 eV/atom. The total energy comes out at -44.04 eV per cell.

The space group is P-1 (No. 2) and the conventional cell measures 6.805, 6.835 and 6.848 Å, with angles of 60.62, 60.79 and 60.75 degrees. The asymmetric unit holds Ba at (0.199, 0.198, 0.199), Zn at (0.000, 0.000, 0.000), In at (0.500, 0.500, 0.500), Pd at (0.165, 0.315, 0.625), Pd at (0.317, 0.625, 0.164) and Pd at (0.373, 0.835, 0.684).

---

(19)
Entry from the Alexandria database: an optimized crystal structure of ZnOsW2 (PBE).

The calculation puts the formation energy at 0.88 eV/atom. The total energy comes out at -139.49 eV per cell.

The space group is I-42d (No. 122) and the conventional cell measures 7.330, 7.330 and 5.212 Å, with angles of 90.00, 90.00 and 90.00 degrees. The asymmetric unit holds Zn at (0.000, 0.000, 0.000), Os at (0.000, 0.000, 0.500) and W at (0.211, 0.250, 0.625).

---

(20)
Entry from the Alexandria database: an optimized crystal structure of Pr3ErAg3 (PBE).

The calculation puts the formation energy at -0.11 eV/atom. The total energy comes out at -113.01 eV per cell.

The space group is C2/m (No. 12) and the conventional cell measures 10.229, 10.917 and 7.197 Å, with angles of 90.00, 90.92 and 90.00 degrees. The asymmetric unit holds Pr at (0.000, 0.178, 0.000), Pr at (0.000, 0.277, 0.500), Pr at (0.145, 0.500, 0.881), Er at (0.247, 0.000, 0.631), Ag at (0.066, 0.000, 0.323) and Ag at (0.240, 0.250, 0.231).